[1]
First-principles (PBE-GGA) data for an optimized crystal structure of CdOs2Rh, as listed in Alexandria via LeMat-Bulk.

Geometry as POSCAR:
```
CdOs2Rh
1.0
1.3967 -2.3759 0.0000
1.3967 2.3759 0.0000
0.0000 0.0000 9.5508
Rh Cd Os
1 1 2
direct
0.0000 0.0000 0.5116
0.5000 0.5000 0.2546
0.5000 0.5000 0.7508
0.0000 0.0000 0.9829
```

Values from the calculation:
Crystal system: orthorhombic
Spin magnetization in μB per cell: 1.0
VASP energy in eV per atom: -7.182
DOS(E_F) in states/eV/cell: 4.57
Energy relative to the elements in eV/atom: 0.4994

***

[2]
First-principles (PBE-GGA) data for an optimized crystal structure of CeNp2S4, as listed in Alexandria via LeMat-Bulk.

Geometry as POSCAR:
```
CeNp2S4
1.0
-3.5383 1.6658 -0.2590
0.3956 -2.8144 6.1491
4.8497 11.0385 4.7403
S Ce Np
8 2 4
direct
0.9639 0.9277 0.7500
0.2297 0.4594 0.6236
0.5000 0.0000 0.5000
0.0361 0.0723 0.2500
0.2297 0.4594 0.8764
0.7703 0.5406 0.3764
0.5000 0.0000 0.0000
0.7703 0.5406 0.1236
0.3811 0.7621 0.2500
0.6189 0.2379 0.7500
0.8675 0.7349 0.9349
0.1325 0.2651 0.4349
0.1325 0.2651 0.0651
0.8675 0.7349 0.5651
```

Values from the calculation:
Crystal system: orthorhombic
Spin magnetization in μB per cell: 19.3
VASP energy in eV per atom: -8.498
DOS(E_F) in states/eV/cell: 38.66

***

[3]
First-principles (PBE-GGA) data for an optimized crystal structure of Ce3Ga4Pd7, as listed in Alexandria via LeMat-Bulk.

Geometry as POSCAR:
```
Ce3Ga4Pd7
1.0
-2.0006 -3.3466 -1.4638
-4.0776 -2.9846 6.4723
-8.1177 2.4588 -0.4511
Pd Ga Ce
7 4 3
direct
0.3074 0.8460 0.5391
0.0000 0.0000 0.0000
0.8382 0.3963 0.9272
0.5048 0.7774 0.2129
0.1618 0.6037 0.0728
0.6926 0.1540 0.4609
0.4952 0.2226 0.7871
0.3381 0.5512 0.7727
0.8859 0.8911 0.3372
0.6619 0.4488 0.2273
0.1141 0.1089 0.6628
0.0000 0.5000 0.5000
0.3255 0.1801 0.1689
0.6745 0.8199 0.8311
```

Values from the calculation:
Crystal system: monoclinic
Spin magnetization in μB per cell: 1.9
VASP energy in eV per atom: -5.507
DOS(E_F) in states/eV/cell: 18.35
Energy relative to the elements in eV/atom: -0.7738